Crystalline AcCuBiH at its relaxed geometry, computed with PBE.

Values from the calculation:
DOS at the Fermi energy: 0.29 states/eV/atom
DFT total energy: -0.150 hartree per atom
Space group: F-43m
Spin magnetization: 0.00 μB per cell

Cell and atoms, written as POSCAR:
```
AcCuBiH
1.0
4.9509 0.0000 0.0000
2.4755 4.2876 0.0000
2.4755 1.4292 4.0424
Cu Ac Bi H
1 1 1 1
Direct
0.2500 0.2500 0.2500
0.5000 0.5000 0.5000
0.0000 0.0000 0.0000
0.7500 0.7500 0.7500
```